[1]
Below is a relaxed NbCrTc2 crystal, with properties calculated at the PBE level.

Unit cell a=3.1034 b=3.1034 c=6.1810 alpha=90.00 beta=90.00 gamma=90.00
Closest atoms and distances in Å follow each position.
Sites, in units of the cell vectors:
Nb 0.0000 0.0000 0.0000  8 Tc 2.73
Cr 0.0000 0.0000 0.5000  8 Tc 2.64
Tc 0.5000 0.5000 0.2623  4 Cr 2.64, 4 Nb 2.73, 1 Tc 2.94
Tc 0.5000 0.5000 0.7377  4 Cr 2.64, 4 Nb 2.73, 1 Tc 2.94

The formation energy from the elements comes out at -0.06 eV/atom. As for the space-group type: P4/mmm (123).

---

[2]
Below is a relaxed CsCoSbTe2 crystal, with properties calculated at the PBE level.

Unit cell a=6.4691 b=6.4691 c=6.3430 alpha=90.00 beta=90.00 gamma=90.00
Closest atoms and distances in Å follow each position.
Sites, in units of the cell vectors:
Cs 0.0000 0.0000 0.0000  2 Sb 3.17, 4 Te 3.23
Co 0.5000 0.5000 0.5000  8 Te 4.53, 4 Sb 4.57
Sb 0.0000 0.0000 0.5000  2 Cs 3.17
Te 0.0000 0.5000 0.0000  2 Cs 3.23
Te 0.5000 0.0000 0.0000  2 Cs 3.23

The total DFT energy (no corrections) comes out at -1.85 eV per atom. As for the space-group type: P4/mmm (123).

---

[3]
Below is a relaxed Tb5PrBi6 crystal, with properties calculated at the PBE level.

Unit cell a=7.8283 b=7.8283 c=7.8272 alpha=99.61 beta=99.61 gamma=120.01
Closest atoms and distances in Å follow each position.
Sites, in units of the cell vectors:
Tb 0.0000 0.0000 0.0000  6 Bi 3.15-3.19
Tb 0.1676 0.8324 0.5000  6 Bi 3.19-3.20
Tb 0.3359 0.6641 0.0000  6 Bi 3.17-3.20
Tb 0.6641 0.3359 0.0000  6 Bi 3.17-3.20
Tb 0.8324 0.1676 0.5000  6 Bi 3.19-3.20
Pr 0.5000 0.5000 0.5000  6 Bi 3.24-3.25
Bi 0.0764 0.4150 0.2459  5 Tb 3.17-3.20, 1 Pr 3.25
Bi 0.2446 0.2446 0.7514  5 Tb 3.15-3.19, 1 Pr 3.24
Bi 0.4150 0.0764 0.2459  5 Tb 3.17-3.20, 1 Pr 3.25
Bi 0.5850 0.9236 0.7541  5 Tb 3.17-3.20, 1 Pr 3.25
Bi 0.7554 0.7554 0.2486  5 Tb 3.15-3.19, 1 Pr 3.24
Bi 0.9236 0.5850 0.7541  5 Tb 3.17-3.20, 1 Pr 3.25

The formation energy from the elements comes out at -0.89 eV/atom. As for the space-group type: C2/m (12).

---

[4]
Below is a relaxed Y2ScCo2 crystal, with properties calculated at the PBE level.

Unit cell a=6.9972 b=6.9972 c=4.1709 alpha=90.00 beta=90.00 gamma=90.00
Closest atoms and distances in Å follow each position.
Sites, in units of the cell vectors:
Y 0.1780 0.3220 0.0000  6 Co 2.93-2.95
Y 0.3220 0.8220 0.0000  6 Co 2.93-2.95
Y 0.6780 0.1780 0.0000  6 Co 2.93-2.95
Y 0.8220 0.6780 0.0000  6 Co 2.93-2.95
Sc 0.0000 0.0000 0.5000  4 Co 2.82
Sc 0.5000 0.5000 0.5000  4 Co 2.82
Co 0.1141 0.6141 0.5000  1 Co 2.26
Co 0.3859 0.1141 0.5000  1 Co 2.26
Co 0.6141 0.8859 0.5000  1 Co 2.26
Co 0.8859 0.3859 0.5000  1 Co 2.26

The formation energy from the elements comes out at -0.19 eV/atom. As for the space-group type: P4/mbm (127). The calculation puts the polymorph energy (0 for the lowest one) at 0.128 eV per formula unit.

---

[5]
Below is a relaxed BaPtPb crystal, with properties calculated at the PBE level.

Unit cell a=5.1617 b=5.1617 c=5.1617 alpha=60.00 beta=60.00 gamma=60.00
Closest atoms and distances in Å follow each position.
Sites, in units of the cell vectors:
Ba 0.0000 0.0000 0.0000  4 Pt 3.16
Pt 0.2500 0.2500 0.2500  4 Pb 3.16, 4 Ba 3.16
Pb 0.5000 0.5000 0.5000  4 Pt 3.16

The formation energy from the elements comes out at -0.40 eV/atom. As for the space-group type: F-43m (216).

---

[6]
Below is a relaxed KNa2ReF8 crystal, with properties calculated at the PBE level.

Unit cell a=5.2529 b=5.2529 c=8.3307 alpha=90.00 beta=90.00 gamma=120.00
Closest atoms and distances in Å follow each position.
Sites, in units of the cell vectors:
K 0.0000 0.0000 0.0000  12 F 3.04-3.33
Na 0.3333 0.6667 0.2262  1 F 2.10
Na 0.6667 0.3333 0.7738  1 F 2.10
Re 0.0000 0.0000 0.5000  6 F 1.92
F 0.1651 0.3303 0.6439  1 Re 1.92
F 0.1651 0.8349 0.6439  1 Re 1.92
F 0.3303 0.1651 0.3561  1 Re 1.92
F 0.3333 0.6667 0.9743  1 Na 2.10
F 0.6667 0.3333 0.0257  1 Na 2.10
F 0.6697 0.8349 0.6439  1 Re 1.92
F 0.8349 0.1651 0.3561  1 Re 1.92
F 0.8349 0.6697 0.3561  1 Re 1.92

The total DFT energy (no corrections) comes out at -4.84 eV per atom. As for the space-group type: P-3m1 (164).

---

[7]
Below is a relaxed LiRe2Rh2 crystal, with properties calculated at the PBE level.

Unit cell a=7.6539 b=7.6539 c=2.6800 alpha=90.00 beta=90.00 gamma=90.00
Closest atoms and distances in Å follow each position.
Sites, in units of the cell vectors:
Li 0.0000 0.0000 0.0000  2 Li 2.68
Li 0.5000 0.5000 0.0000  2 Li 2.68
Re 0.1701 0.3299 0.5000  6 Rh 2.59-2.65, 2 Re 2.68
Re 0.3299 0.8299 0.5000  6 Rh 2.59-2.65, 2 Re 2.68
Re 0.6701 0.1701 0.5000  6 Rh 2.59-2.65, 2 Re 2.68
Re 0.8299 0.6701 0.5000  6 Rh 2.59-2.65, 2 Re 2.68
Rh 0.1248 0.6248 0.0000  6 Re 2.59-2.65, 3 Rh 2.68-2.70
Rh 0.3752 0.1248 0.0000  6 Re 2.59-2.65, 3 Rh 2.68-2.70
Rh 0.6248 0.8752 0.0000  6 Re 2.59-2.65, 3 Rh 2.68-2.70
Rh 0.8752 0.3752 0.0000  6 Re 2.59-2.65, 3 Rh 2.68-2.70

The formation energy from the elements comes out at 0.19 eV/atom. As for the space-group type: P4/mbm (127). The calculation puts the polymorph energy (0 for the lowest one) at 0.544 eV per formula unit.

---

[8]
Below is a relaxed ScTeBr crystal, with properties calculated at the PBE level.

Unit cell a=13.5668 b=13.5668 c=13.5668 alpha=164.03 beta=164.03 gamma=22.66
Closest atoms and distances in Å follow each position.
Sites, in units of the cell vectors:
Sc 0.1394 0.1394 0.0000  2 Br 2.70, 4 Te 2.97
Sc 0.8606 0.8606 0.0000  2 Br 2.70, 4 Te 2.97
Te 0.3113 0.3113 0.0000  4 Sc 2.97
Te 0.6887 0.6887 0.0000  4 Sc 2.97
Br 0.5665 0.0665 0.5000  2 Sc 2.70
Br 0.9335 0.4335 0.5000  2 Sc 2.70

The total DFT energy (no corrections) comes out at -5.01 eV per atom. As for the space-group type: I-4m2 (119).

---

[9]
Below is a relaxed Y2Al crystal, with properties calculated at the PBE level.

Unit cell a=7.1698 b=7.1698 c=7.1698 alpha=152.09 beta=152.09 gamma=39.88
Closest atoms and distances in Å follow each position.
Sites, in units of the cell vectors:
Y 0.1476 0.1476 0.0000  4 Al 3.15, 4 Y 3.46
Y 0.8524 0.8524 0.0000  4 Al 3.15, 4 Y 3.46
Al 0.5000 0.5000 0.0000  8 Y 3.15, 4 Al 3.46

The formation energy from the elements comes out at -0.27 eV/atom. As for the space-group type: I4/mmm (139).

---

[10]
Below is a relaxed Mg3TlPb3 crystal, with properties calculated at the PBE level.

Unit cell a=8.1197 b=8.1197 c=8.1197 alpha=90.00 beta=90.00 gamma=90.00
Closest atoms and distances in Å follow each position.
Sites, in units of the cell vectors:
Mg 0.0000 0.2500 0.5000  4 Pb 2.87
Mg 0.0000 0.7500 0.5000  4 Pb 2.87
Mg 0.2500 0.5000 0.0000  4 Pb 2.87
Mg 0.5000 0.0000 0.2500  4 Pb 2.87
Mg 0.5000 0.0000 0.7500  4 Pb 2.87
Mg 0.7500 0.5000 0.0000  4 Pb 2.87
Tl 0.0000 0.0000 0.0000  12 Pb 4.54, 12 Mg 4.54
Tl 0.5000 0.5000 0.5000  12 Pb 4.54, 12 Mg 4.54
Pb 0.0000 0.5000 0.2500  4 Mg 2.87
Pb 0.0000 0.5000 0.7500  4 Mg 2.87
Pb 0.2500 0.0000 0.5000  4 Mg 2.87
Pb 0.5000 0.2500 0.0000  4 Mg 2.87
Pb 0.5000 0.7500 0.0000  4 Mg 2.87
Pb 0.7500 0.0000 0.5000  4 Mg 2.87

The formation energy from the elements comes out at 0.39 eV/atom. As for the space-group type: Pm-3n (223). The calculation puts the polymorph energy (0 for the lowest one) at 2.778 eV per formula unit.